No. 1
Below is a relaxed structure of CuPbSe2, with properties calculated at the PBE level.

Cell: 4.9259 4.9259 3.7137 Å, 90.00 90.00 90.00°
Closest atoms and distances in Å follow each position.
Atoms (fractional coordinates):
Cu1 0.0000 0.0000 0.0000  8 Se 3.08
Pb1 0.5000 0.5000 0.0000  8 Se 3.08
Se1 0.0000 0.5000 0.5000  4 Pb 3.08, 4 Cu 3.08
Se2 0.5000 0.0000 0.5000  4 Pb 3.08, 4 Cu 3.08

Summary:
Energy relative to the elements, uncorrected: 0.167 eV/atom
Space group: P4/mmm, No. 123


No. 2
Below is a relaxed structure of RbI2BrO, with properties calculated at the PBE level.

Cell: 6.3088 6.3088 4.1173 Å, 90.00 90.00 90.00°
Closest atoms and distances in Å follow each position.
Atoms (fractional coordinates):
Rb1 0.0000 0.0000 0.0000  8 I 3.77, 2 Rb 4.12
I1 0.0000 0.5000 0.5000  2 Br 3.15
I2 0.5000 0.0000 0.5000  2 Br 3.15
Br1 0.5000 0.5000 0.5000  2 O 2.06
O1 0.5000 0.5000 0.0000  2 Br 2.06

Summary:
Energy relative to the elements, uncorrected: -0.195 eV/atom
Distance to the lowest polymorph of the same formula: 0 meV per atom
Space group: P4/mmm, No. 123


No. 3
Below is a relaxed structure of Ce4ThIr4, with properties calculated at the PBE level.

Cell: 7.0215 7.0215 7.0215 Å, 99.40 99.40 132.32°
Closest atoms and distances in Å follow each position.
Atoms (fractional coordinates):
Ce1 0.1026 0.3099 0.4125  5 Ir 2.83-2.89
Ce2 0.3099 0.8974 0.2073  5 Ir 2.83-2.89
Ce3 0.6901 0.1026 0.7927  5 Ir 2.83-2.89
Ce4 0.8974 0.6901 0.5875  5 Ir 2.83-2.89
Th1 0.5000 0.5000 0.0000  4 Ir 2.85
Ir1 0.2044 0.6046 0.8090  5 Ce 2.83-2.89, 1 Th 2.85
Ir2 0.3954 0.2044 0.5998  5 Ce 2.83-2.89, 1 Th 2.85
Ir3 0.6046 0.7956 0.4002  5 Ce 2.83-2.89, 1 Th 2.85
Ir4 0.7956 0.3954 0.1910  5 Ce 2.83-2.89, 1 Th 2.85

Summary:
Formation energy from the elements: -702 meV per atom
Space group: I4/m, No. 87


No. 4
Below is a relaxed structure of Mg3ScHg4, with properties calculated at the PBE level.

Cell: 8.6321 8.6321 8.6321 Å, 32.99 32.99 32.99°
Closest atoms and distances in Å follow each position.
Atoms (fractional coordinates):
Mg1 0.0000 0.0000 0.0000  8 Hg 3.01-3.05
Mg2 0.2499 0.2499 0.2499  8 Hg 3.00-3.07
Mg3 0.7501 0.7501 0.7501  8 Hg 3.00-3.07
Sc1 0.5000 0.5000 0.5000  8 Hg 3.01-3.05
Hg1 0.1247 0.1247 0.1247  5 Mg 3.00-3.06, 3 Sc 3.01
Hg2 0.3752 0.3752 0.3752  7 Mg 3.01-3.07, 1 Sc 3.05
Hg3 0.6248 0.6248 0.6248  7 Mg 3.01-3.07, 1 Sc 3.05
Hg4 0.8753 0.8753 0.8753  5 Mg 3.00-3.06, 3 Sc 3.01

Summary:
Formation energy from the elements: -293 meV per atom
Space group: R-3m, No. 166


No. 5
Below is a relaxed structure of Ag2Pt, with properties calculated at the PBE level.

Cell: 2.8400 2.8400 7.2431 Å, 90.00 90.00 120.00°
Closest atoms and distances in Å follow each position.
Atoms (fractional coordinates):
Ag1 0.3333 0.6667 0.1681  9 Ag 2.84-2.94, 3 Pt 2.91
Ag2 0.6667 0.3333 0.8319  9 Ag 2.84-2.94, 3 Pt 2.91
Pt1 0.0000 0.0000 0.5000  6 Pt 2.84, 6 Ag 2.91

Summary:
Formation energy from the elements: -14 meV per atom
Distance to the lowest polymorph of the same formula: 0 meV per atom
Space group: P-3m1, No. 164


No. 6
Below is a relaxed structure of CoIr2Pd, with properties calculated at the PBE level.

Cell: 5.5226 5.5226 5.5226 Å, 102.04 102.04 125.64°
Closest atoms and distances in Å follow each position.
Atoms (fractional coordinates):
Co1 0.0000 0.0000 0.0000  4 Ir 2.33, 2 Pd 2.52
Co2 0.7500 0.2500 0.5000  4 Ir 2.33, 2 Pd 2.52
Ir1 0.0786 0.6250 0.9536  2 Co 2.33, 2 Ir 2.60
Ir2 0.3750 0.3286 0.4536  2 Co 2.33, 2 Ir 2.60
Ir3 0.6714 0.1250 0.0464  2 Co 2.33, 2 Ir 2.60
Ir4 0.8750 0.9214 0.5464  2 Co 2.33, 2 Ir 2.60
Pd1 0.2500 0.7500 0.5000  2 Co 2.52, 4 Ir 2.77
Pd2 0.5000 0.5000 0.0000  2 Co 2.52, 4 Ir 2.77

Summary:
Formation energy from the elements: 572 meV per atom
Space group: I-42d, No. 122


No. 7
Below is a relaxed structure of MgAu2Br, with properties calculated at the PBE level.

Cell: 6.3529 6.3529 4.5896 Å, 111.10 111.10 29.26°
Closest atoms and distances in Å follow each position.
Atoms (fractional coordinates):
Mg1 0.0000 0.0000 0.0000  4 Br 2.80, 4 Au 2.96
Au1 0.2817 0.2817 0.7818  6 Au 2.89-3.21, 2 Mg 2.96
Au2 0.7183 0.7183 0.2182  6 Au 2.89-3.21, 2 Mg 2.96
Br1 0.5000 0.5000 0.5000  4 Mg 2.80

Summary:
Energy relative to the elements, uncorrected: -0.269 eV/atom
Distance to the lowest polymorph of the same formula: 257 meV per atom
Space group: C2/m, No. 12


No. 8
Below is a relaxed structure of Pm8C3Cl4F, with properties calculated at the PBE level.

Cell: 8.2538 8.2538 8.2538 Å, 54.13 54.13 54.13°
Closest atoms and distances in Å follow each position.
Atoms (fractional coordinates):
Pm1 0.2139 0.7404 0.7404  2 C 2.52, 1 F 2.66
Pm2 0.2315 0.2315 0.2315  3 C 2.56
Pm3 0.2596 0.2596 0.7861  2 C 2.52, 1 F 2.66
Pm4 0.2596 0.7861 0.2596  2 C 2.52, 1 F 2.66
Pm5 0.7404 0.2139 0.7404  2 C 2.52, 1 F 2.66
Pm6 0.7404 0.7404 0.2139  2 C 2.52, 1 F 2.66
Pm7 0.7685 0.7685 0.7685  3 C 2.56
Pm8 0.7861 0.2596 0.2596  2 C 2.52, 1 F 2.66
C1 0.0000 0.0000 0.5000  6 Pm 2.52-2.56
C2 0.0000 0.5000 0.0000  6 Pm 2.52-2.56
C3 0.5000 0.0000 0.0000  6 Pm 2.52-2.56
Cl1 0.0000 0.0000 0.0000  6 Pm 2.97
Cl2 0.0000 0.5000 0.5000  6 Pm 3.05-3.09
Cl3 0.5000 0.0000 0.5000  6 Pm 3.05-3.09
Cl4 0.5000 0.5000 0.0000  6 Pm 3.05-3.09
F1 0.5000 0.5000 0.5000  6 Pm 2.66

Summary:
Energy relative to the elements, uncorrected: -1.244 eV/atom
Space group: R-3m, No. 166


No. 9
Below is a relaxed structure of LiScMn2, with properties calculated at the PBE level.

Cell: 3.0194 3.8082 5.6665 Å, 90.00 90.00 90.00°
Closest atoms and distances in Å follow each position.
Atoms (fractional coordinates):
Li1 0.0000 0.0000 0.0000  8 Mn 2.81, 2 Sc 2.83, 2 Li 3.02
Sc1 0.0000 0.0000 0.5000  8 Mn 2.82, 2 Li 2.83, 2 Sc 3.02
Mn1 0.5000 0.5000 0.2481  4 Li 2.81, 4 Mn 2.81-3.02, 4 Sc 2.82
Mn2 0.5000 0.5000 0.7519  4 Li 2.81, 4 Mn 2.81-3.02, 4 Sc 2.82

Summary:
Formation energy from the elements: 319 meV per atom
Distance to the lowest polymorph of the same formula: 157 meV per atom
Space group: Pmmm, No. 47


No. 10
Below is a relaxed structure of Li4Al3Cu6, with properties calculated at the PBE level.

Cell: 4.9191 4.9191 17.4625 Å, 90.00 90.00 120.00°
Closest atoms and distances in Å follow each position.
Atoms (fractional coordinates):
Li1 0.0000 0.0000 0.2500  6 Cu 2.73, 3 Li 2.84
Li2 0.0000 0.0000 0.7500  6 Cu 2.73, 3 Li 2.84
Li3 0.3333 0.6667 0.0201  4 Al 2.64-2.86, 3 Cu 2.78, 3 Li 2.93
Li4 0.3333 0.6667 0.4799  4 Al 2.64-2.86, 3 Cu 2.78, 3 Li 2.93
Li5 0.3333 0.6667 0.7500  6 Cu 2.71, 3 Li 2.84
Li6 0.6667 0.3333 0.2500  6 Cu 2.71, 3 Li 2.84
Li7 0.6667 0.3333 0.5201  4 Al 2.64-2.86, 3 Cu 2.78, 3 Li 2.93
Li8 0.6667 0.3333 0.9799  4 Al 2.64-2.86, 3 Cu 2.78, 3 Li 2.93
Al1 0.0000 0.0000 0.0000  6 Cu 2.50
Al2 0.0000 0.0000 0.5000  6 Cu 2.50
Al3 0.3333 0.6667 0.1710  6 Cu 2.63, 1 Li 2.64, 1 Al 2.76
Al4 0.3333 0.6667 0.3290  6 Cu 2.63, 1 Li 2.64, 1 Al 2.76
Al5 0.6667 0.3333 0.6710  6 Cu 2.63, 1 Li 2.64, 1 Al 2.76
Al6 0.6667 0.3333 0.8290  6 Cu 2.63, 1 Li 2.64, 1 Al 2.76
Cu1 0.1685 0.3371 0.6170  4 Cu 2.43-2.49, 3 Al 2.50-2.63, 1 Li 2.71
Cu2 0.1685 0.3371 0.8830  4 Cu 2.43-2.49, 3 Al 2.50-2.63, 1 Li 2.71
Cu3 0.1685 0.8315 0.6170  4 Cu 2.43-2.49, 3 Al 2.50-2.63, 1 Li 2.71
Cu4 0.1685 0.8315 0.8830  4 Cu 2.43-2.49, 3 Al 2.50-2.63, 1 Li 2.71
Cu5 0.3371 0.1685 0.1170  4 Cu 2.43-2.49, 3 Al 2.50-2.63, 1 Li 2.71
Cu6 0.3371 0.1685 0.3830  4 Cu 2.43-2.49, 3 Al 2.50-2.63, 1 Li 2.71
Cu7 0.6629 0.8315 0.6170  4 Cu 2.43-2.49, 3 Al 2.50-2.63, 1 Li 2.71
Cu8 0.6629 0.8315 0.8830  4 Cu 2.43-2.49, 3 Al 2.50-2.63, 1 Li 2.71
Cu9 0.8315 0.1685 0.1170  4 Cu 2.43-2.49, 3 Al 2.50-2.63, 1 Li 2.71
Cu10 0.8315 0.1685 0.3830  4 Cu 2.43-2.49, 3 Al 2.50-2.63, 1 Li 2.71
Cu11 0.8315 0.6629 0.1170  4 Cu 2.43-2.49, 3 Al 2.50-2.63, 1 Li 2.71
Cu12 0.8315 0.6629 0.3830  4 Cu 2.43-2.49, 3 Al 2.50-2.63, 1 Li 2.71

Summary:
Formation energy from the elements: -196 meV per atom
Space group: P6_3/mmc, No. 194


No. 11
Below is a relaxed structure of YTi3C, with properties calculated at the PBE level.

Cell: 4.3923 4.3923 4.3923 Å, 90.00 90.00 90.00°
Closest atoms and distances in Å follow each position.
Atoms (fractional coordinates):
Y1 0.0000 0.0000 0.0000  12 Ti 3.11
Ti1 0.0000 0.5000 0.5000  2 C 2.20
Ti2 0.5000 0.0000 0.5000  2 C 2.20
Ti3 0.5000 0.5000 0.0000  2 C 2.20
C1 0.5000 0.5000 0.5000  6 Ti 2.20

Summary:
Formation energy from the elements: -86 meV per atom
Distance to the lowest polymorph of the same formula: 0 meV per atom
Space group: Pm-3m, No. 221


No. 12
Below is a relaxed structure of PmZn2AgAu2, with properties calculated at the PBE level.

Cell: 4.5537 4.5537 6.6024 Å, 90.00 90.00 120.00°
Closest atoms and distances in Å follow each position.
Atoms (fractional coordinates):
Pm1 0.0000 0.0000 0.0000  6 Au 3.16, 2 Ag 3.30, 6 Zn 3.33
Zn1 0.3333 0.6667 0.6901  4 Au 2.65-2.81, 3 Ag 2.91
Zn2 0.6667 0.3333 0.3099  4 Au 2.65-2.81, 3 Ag 2.91
Ag1 0.0000 0.0000 0.5000  6 Zn 2.91, 6 Au 3.05
Au1 0.3333 0.6667 0.2648  4 Zn 2.65-2.81
Au2 0.6667 0.3333 0.7352  4 Zn 2.65-2.81

Summary:
Formation energy from the elements: -457 meV per atom
Space group: P-3m1, No. 164